# AcNd4Ho4

A relaxed structure of AcNd4Ho4 (GGA-PBE, Alexandria).

Cell lengths 6.3162, 9.6534, 10.9279 Å; angles 100.82, 106.71, 96.28 degrees
Closest atoms and distances in Å follow each position.
Space group P-1 (No. 2)
One atom of each set of equivalent atoms:
Ac  0.2490  0.4163  0.1972  5 Ho 3.63-3.73, 7 Nd 3.65-3.71
Nd  0.2460  0.0806  0.9700  6 Ho 3.60-3.70, 5 Nd 3.60-3.69, 1 Ac 3.69
Nd  0.2480  0.4121  0.8571  5 Ho 3.59-3.75, 4 Nd 3.64-3.73, 3 Ac 3.66-3.71
Nd  0.2501  0.7547  0.7477  4 Nd 3.60-3.72, 6 Ho 3.61-3.69, 2 Ac 3.65-3.68
Nd  0.2538  0.7555  0.4192  9 Ho 3.55-3.71, 2 Nd 3.60-3.65, 1 Ac 3.68
Ho  0.2436  0.4141  0.5281  6 Nd 3.59-3.71, 4 Ho 3.61-3.74, 2 Ac 3.63-3.67
Ho  0.2492  0.0834  0.6362  6 Ho 3.57-3.63, 6 Nd 3.59-3.66
Ho  0.2497  0.0789  0.3087  6 Nd 3.55-3.70, 5 Ho 3.57-3.66, 1 Ac 3.69
Ho  0.2595  0.7566  0.0872  2 Ho 3.58-3.60, 8 Nd 3.60-3.75, 2 Ac 3.70-3.73


# Fe3BIr

A relaxed structure of Fe3BIr (GGA-PBE, Alexandria).

## Properties
Energy relative to the lowest polymorph listed for this composition   1772 meV/atom

Cell lengths 4.6407, 4.6407, 4.6407 Å; angles 90.00, 90.00, 90.00 degrees
Closest atoms and distances in Å follow each position.
Space group Pm-3m (No. 221)
One atom of each set of equivalent atoms:
Fe  0.0000  0.0000  0.5000  2 Ir 2.32
B  0.5000  0.5000  0.5000  12 Fe 3.28
Ir  0.0000  0.0000  0.0000  6 Fe 2.32


# CsKCdAg2

A relaxed structure of CsKCdAg2 (GGA-PBE, Alexandria).

Cell lengths 5.6256, 5.6256, 6.0584 Å; angles 90.00, 90.00, 90.00 degrees
Closest atoms and distances in Å follow each position.
Space group P4/mmm (No. 123)
One atom of each set of equivalent atoms:
Cs  0.0000  0.0000  0.0000  4 K 3.98, 8 Ag 4.13
K  0.5000  0.5000  0.0000  2 Cd 3.03
Cd  0.5000  0.5000  0.5000  4 Ag 2.81, 2 K 3.03
Ag  0.0000  0.5000  0.5000  2 Cd 2.81


# Ta3IrW

A relaxed structure of Ta3IrW (GGA-PBE, Alexandria).

## Properties
Energy relative to the lowest polymorph listed for this composition   0 meV/atom

Cell lengths 4.7790, 4.7790, 4.7790 Å; angles 90.00, 90.00, 90.00 degrees
Closest atoms and distances in Å follow each position.
Space group Pm-3m (No. 221)
One atom of each set of equivalent atoms:
Ta  0.0000  0.0000  0.5000  2 Ir 2.39
Ir  0.0000  0.0000  0.0000  6 Ta 2.39
W  0.5000  0.5000  0.5000  12 Ta 3.38


| no. | formation energy from the elements (eV per formula unit) |
| --- | --- |
| 1 | 0.293 |
| 2 | 10.050 |
| 3 | 0.749 |
| 4 | 7.331 |